# K4MgAu2

K4MgAu2 after structural relaxation (GGA-PBE, Alexandria).

a = 6.5350 Å, b = 6.5350 Å, c = 9.4436 Å
α = 69.76°, β = 69.76°, γ = 90.00°
Last column: nearest neighbours and their distance in Å.
Element x y z (fractional)
Au 0.5854 0.5854 0.8292  1 Au 2.81
Au 0.4146 0.4146 0.1708  1 Au 2.81
Mg 0.0000 0.0000 0.0000  6 K 3.27-3.64
K 0.7790 0.7790 0.4420  1 Au 3.19
K 0.0000 0.5000 0.0000  2 Mg 3.27, 4 Au 3.56
K 0.2210 0.2210 0.5580  1 Au 3.19
K 0.5000 0.0000 0.0000  2 Mg 3.27, 4 Au 3.56

Final energy, eV/atom: -1.679
ΔE_f, meV per atom: 112
DOS(E_F), states/eV per cell: 5.0

# KFe2S3

KFe2S3 after structural relaxation (GGA-PBE, Alexandria).

a = 7.0978 Å, b = 7.0978 Å, c = 5.1541 Å
α = 90.00°, β = 90.00°, γ = 103.80°
Last column: nearest neighbours and their distance in Å.
Element x y z (fractional)
K 0.3237 0.6763 0.2500  10 S 3.30-3.69
K 0.6763 0.3237 0.7500  10 S 3.30-3.69
Fe 0.1454 0.1454 0.5000  4 S 2.12-2.18
Fe 0.1454 0.1454 0.0000  4 S 2.12-2.18
Fe 0.8546 0.8546 0.5000  4 S 2.12-2.18
Fe 0.8546 0.8546 0.0000  4 S 2.12-2.18
S 0.1749 0.3881 0.7500  2 Fe 2.12
S 0.3881 0.1749 0.2500  2 Fe 2.12
S 0.8917 0.1083 0.2500  4 Fe 2.18
S 0.6119 0.8251 0.7500  2 Fe 2.12
S 0.8251 0.6119 0.2500  2 Fe 2.12
S 0.1083 0.8917 0.7500  4 Fe 2.18

Final energy, eV/atom: -5.751
ΔE_f (raw), eV per atom: -0.68
DOS(E_F), states/eV per cell: 8.3

# KTi4S8

KTi4S8 after structural relaxation (GGA-PBE, Alexandria).

a = 7.4358 Å, b = 7.4358 Å, c = 7.4358 Å
α = 60.00°, β = 60.00°, γ = 60.00°
Last column: nearest neighbours and their distance in Å.
Element x y z (fractional)
Ti 0.8893 0.3702 0.3702  6 S 2.47-2.48
Ti 0.3702 0.3702 0.8893  6 S 2.47-2.48
Ti 0.3702 0.8893 0.3702  6 S 2.47-2.48
Ti 0.3702 0.3702 0.3702  6 S 2.47-2.48
K 0.7500 0.7500 0.7500  4 S 2.68
S 0.5943 0.1352 0.1352  3 Ti 2.47
S 0.1913 0.6029 0.6029  3 Ti 2.48, 1 K 2.68
S 0.6029 0.6029 0.1913  3 Ti 2.48, 1 K 2.68
S 0.1352 0.1352 0.1352  3 Ti 2.47
S 0.1352 0.1352 0.5943  3 Ti 2.47
S 0.6029 0.6029 0.6029  3 Ti 2.48, 1 K 2.68
S 0.1352 0.5943 0.1352  3 Ti 2.47
S 0.6029 0.1913 0.6029  3 Ti 2.48, 1 K 2.68

Final energy, eV/atom: -6.206
ΔE_f (raw), eV per atom: -1.15
DOS(E_F), states/eV per cell: 5.0

# CaCu2Os2

CaCu2Os2 after structural relaxation (GGA-PBE, Alexandria).

a = 7.7674 Å, b = 7.7674 Å, c = 2.5973 Å
α = 90.00°, β = 90.00°, γ = 90.00°
Last column: nearest neighbours and their distance in Å.
Element x y z (fractional)
Cu 0.8255 0.6745 0.0000  6 Os 2.59-2.67, 2 Cu 2.60, 2 Ca 2.87
Cu 0.3255 0.8255 0.0000  6 Os 2.59-2.67, 2 Cu 2.60, 2 Ca 2.87
Cu 0.6745 0.1745 0.0000  6 Os 2.59-2.67, 2 Cu 2.60, 2 Ca 2.87
Cu 0.1745 0.3255 0.0000  6 Os 2.59-2.67, 2 Cu 2.60, 2 Ca 2.87
Ca 0.0000 0.0000 0.0000  2 Ca 2.60, 4 Cu 2.87
Ca 0.5000 0.5000 0.0000  2 Ca 2.60, 4 Cu 2.87
Os 0.3787 0.1213 0.5000  6 Cu 2.59-2.67, 3 Os 2.60-2.67
Os 0.6213 0.8787 0.5000  6 Cu 2.59-2.67, 3 Os 2.60-2.67
Os 0.8787 0.3787 0.5000  6 Cu 2.59-2.67, 3 Os 2.60-2.67
Os 0.1213 0.6213 0.5000  6 Cu 2.59-2.67, 3 Os 2.60-2.67

Final energy, eV/atom: -6.120
ΔE_f, meV per atom: 411
DOS(E_F), states/eV per cell: 9.1

# GaCuNiN2

GaCuNiN2 after structural relaxation (GGA-PBE, Alexandria).

a = 3.5245 Å, b = 5.5219 Å, c = 3.5245 Å
α = 90.00°, β = 90.00°, γ = 90.00°
Last column: nearest neighbours and their distance in Å.
Element x y z (fractional)
Ga 0.0000 0.5000 0.0000  4 Cu 2.49, 2 Ni 2.76
N 0.5000 0.0000 0.0000  2 Ni 1.76
N 0.0000 0.0000 0.5000  2 Ni 1.76
Ni 0.0000 0.0000 0.0000  4 N 1.76
Cu 0.5000 0.5000 0.5000  4 Ga 2.49

Final energy, eV/atom: -4.755
ΔE_f (raw), eV per atom: 1.16
DOS(E_F), states/eV per cell: 2.3

# Er3Tm4Sb4

Er3Tm4Sb4 after structural relaxation (GGA-PBE, Alexandria).

a = 4.0106 Å, b = 9.0906 Å, c = 9.8245 Å
α = 117.56°, β = 101.78°, γ = 90.00°
Last column: nearest neighbours and their distance in Å.
Element x y z (fractional)
Sb 0.5000 0.7949 0.0000  2 Tm 3.03, 6 Er 3.23-3.35
Sb 0.5000 0.2051 0.0000  2 Tm 3.03, 6 Er 3.23-3.35
Sb 0.7373 0.2373 0.4745  2 Er 3.06, 6 Tm 3.07-3.09
Sb 0.2627 0.7627 0.5255  2 Er 3.06, 6 Tm 3.07-3.09
Tm 0.3314 0.5166 0.6628  4 Sb 3.03-3.09, 1 Tm 3.37
Tm 0.3314 0.1462 0.6628  4 Sb 3.03-3.09, 1 Tm 3.37
Tm 0.6686 0.4834 0.3372  4 Sb 3.03-3.09, 1 Tm 3.37
Tm 0.6686 0.8538 0.3372  4 Sb 3.03-3.09, 1 Tm 3.37
Er 0.0000 0.5000 0.0000  4 Sb 3.35
Er 0.1011 0.1011 0.2022  6 Sb 3.06-3.23
Er 0.8989 0.8989 0.7978  6 Sb 3.06-3.23

Final energy, eV/atom: -5.080
ΔE_f (raw), eV per atom: -0.71
DOS(E_F), states/eV per cell: 11.4

# InReHg2

InReHg2 after structural relaxation (GGA-PBE, Alexandria).

a = 4.8420 Å, b = 4.8420 Å, c = 4.8420 Å
α = 60.00°, β = 60.00°, γ = 60.00°
Last column: nearest neighbours and their distance in Å.
Element x y z (fractional)
Hg 0.0000 0.0000 0.0000  4 Re 2.97, 4 Hg 2.97
Hg 0.2500 0.2500 0.2500  4 Hg 2.97, 4 In 2.97
Re 0.7500 0.7500 0.7500  4 In 2.97, 4 Hg 2.97
In 0.5000 0.5000 0.5000  4 Re 2.97, 4 Hg 2.97

Final energy, eV/atom: -2.996
ΔE_f, meV per atom: 951
DOS(E_F), states/eV per cell: 1.8